CaLaVCrO6 | PBE with a Hubbard U | optimized geometry

Calculated values
DFT total energy   -0.2868 Ha/atom
M_tot   0.4000 μB per atom
Crystal system   monoclinic

Unit cell a=5.4553 b=5.5337 c=9.5158 alpha=90.00 beta=124.72 gamma=90.00
Fractional coordinates of all 20 atoms:
Ca (0.0000, 0.2074, 0.0000)
Ca (0.0000, 0.7926, 0.5000)
La (0.5151, 0.2837, 0.5008)
La (0.5151, 0.7163, 0.0008)
V (0.7585, 0.2489, 0.2493)
V (0.7585, 0.7511, 0.7493)
Cr (0.2600, 0.2506, 0.7507)
Cr (0.2600, 0.7494, 0.2507)
O (0.0808, 0.2259, 0.4979)
O (0.0808, 0.7741, 0.9979)
O (0.4285, 0.2716, 0.0019)
O (0.4285, 0.7284, 0.5019)
O (0.5196, 0.0394, 0.2864)
O (0.5196, 0.9606, 0.7864)
O (0.5970, 0.4633, 0.7958)
O (0.5970, 0.5367, 0.2958)
O (0.9291, 0.0350, 0.7070)
O (0.9291, 0.9650, 0.2070)
O (0.9994, 0.4547, 0.2102)
O (0.9994, 0.5453, 0.7102)